1.
First-principles (PBE-GGA) data for a relaxed AcTcAs crystal, as listed in the Alexandria database.

Cell and atoms, written as extended XYZ:
```
3
Lattice="3.393 0.000 0.000 0.000 3.393 0.000 -1.697 -1.697 5.741" Properties=species:S:1:pos:R:3 pbc="T T T"
Tc 0.000 0.000 3.420
Ac 1.697 1.697 5.695
As 1.697 1.697 2.366
```

Summary:
Formation energy in eV/atom: -0.24
Offset from the most stable computed form in eV per formula unit: 0.54
Total magnetic moment in μB per formula unit: 0.0

2.
First-principles (PBE-GGA) data for a relaxed AcTcAs2 crystal, as listed in the Alexandria database.

Cell and atoms, written as extended XYZ:
```
4
Lattice="3.354 0.000 0.000 0.000 3.354 0.000 0.000 0.000 7.320" Properties=species:S:1:pos:R:3 pbc="T T T"
Tc 1.677 1.677 0.000
As 0.000 0.000 5.911
As 0.000 0.000 1.409
Ac 1.677 1.677 3.660
```

Summary:
Formation energy in eV/atom: -0.23
Offset from the most stable computed form in eV per formula unit: 1.69
Total magnetic moment in μB per formula unit: 0.0

3.
First-principles (PBE-GGA) data for a relaxed AcTcAs crystal, as listed in the Alexandria database.

Cell and atoms, written as extended XYZ:
```
12
Lattice="-4.563 2.758 -2.576 3.370 -5.309 -4.847 -4.051 -4.613 2.236" Properties=species:S:1:pos:R:3 pbc="T T T"
As -4.179 -2.770 1.033
As 1.217 -5.773 -4.933
As -1.065 -4.394 -6.221
As -6.460 -1.391 -0.255
Tc -1.149 -5.471 -3.822
Tc -4.095 -1.693 -1.366
Tc -3.838 -5.379 1.041
Tc -1.405 -1.785 -6.228
Ac -1.919 0.070 -3.332
Ac -3.325 -7.234 -1.855
Ac -1.663 -3.616 -0.926
Ac -3.581 -3.548 -4.262
```

Summary:
Formation energy in eV/atom: -0.05
Offset from the most stable computed form in eV per formula unit: 1.11
Total magnetic moment in μB per formula unit: 0.0

- Which of these has the lowest offset from the most stable computed form?
  number 1